An optimized crystal structure of Cu2Pt, computed with PBE.

Output
- D(E_F): 1.6 states/eV/cell
- Spin magnetization: 0.000 μB/atom
- Volume: 13.40 A^3/atom
- DFT formation energy: -0.084 eV/atom

CIF file:
```
data_Cu2Pt
_chemical_formula_sum 'Cu2 Pt1'
_cell_length_a 4.1622
_cell_length_b 4.1622
_cell_length_c 2.6794
_cell_angle_alpha 90.00
_cell_angle_beta 90.00
_cell_angle_gamma 120.00
_symmetry_space_group_name_H-M 'P -3 m 1'
_symmetry_Int_Tables_number 164
_symmetry_space_group_name_Hall '-P 3 2"'
loop_
_atom_site_label
_atom_site_type_symbol
_atom_site_fract_x
_atom_site_fract_y
_atom_site_fract_z
Cu1 Cu 0.3333 0.6667 0.0799
Pt1 Pt 0.0000 0.0000 0.5000
```